Below is a relaxed structure of SrAl2Pt, with properties calculated at the GGA-PBE level.

Computed properties:
- Magnetic moment: 0.000 μB/f.u.
- ΔH_f (0 K): -0.497 eV/atom
- D(E_F): 1.80 states/eV per cell
- Symmetry: P2/m (10)

```
SrAl2Pt
1.0
4.9567 0.0000 0.0000
0.0000 4.2881 0.0000
-1.6429 0.0000 4.6771
Sr Al Pt
1 2 1
direct
0.0000 0.0000 0.0000
0.3343 0.5000 0.6674
0.6657 0.5000 0.3326
0.5000 0.0000 0.5000
```